Computed, not measured: crystalline Na2Fe2O5 at its relaxed geometry at the PBE+U level of DFT.

Properties
DOS(E_F): 6.36 states/eV per cell
uncorrected energy: -5.532 eV/atom

Cell lengths 8.2694, 8.2695, 8.2694 Å; angles 141.85, 140.74, 55.91 degrees
Closest atoms and distances in Å follow each position.
Atoms (fractional coordinates):
Na1 0.8661 0.3927 0.4747  7 O 2.34-2.60
Na2 0.5819 0.1086 0.4746  7 O 2.34-2.60
Na3 0.1339 0.6086 0.5267  7 O 2.34-2.60
Na4 0.4181 0.8927 0.5266  7 O 2.34-2.60
Fe1 0.0000 0.9909 0.9908  6 O 1.93-2.05
Fe2 0.8234 0.7864 0.1098  4 O 1.79-1.87
Fe3 0.5000 0.4909 0.9909  6 O 1.93-2.05
Fe4 0.1766 0.2865 0.9631  4 O 1.79-1.87
O1 0.7624 0.2510 0.9939  2 Fe 1.93-1.95
O2 0.7574 0.7512 0.4889  2 Fe 1.93-1.95
O3 0.8768 0.1288 0.5057  2 Fe 1.87
O4 0.8118 0.8340 0.9235  1 Fe 1.79
O5 0.5895 0.6117 0.9234  1 Fe 1.79
O6 0.1883 0.1119 0.0224  1 Fe 1.79
O7 0.4105 0.3343 0.0225  1 Fe 1.79
O8 0.1232 0.6290 0.2521  2 Fe 1.87
O9 0.2428 0.7315 0.9938  2 Fe 1.93-1.95
O10 0.2374 0.2314 0.4884  2 Fe 1.93-1.95